The following is a PBE calculation of a relaxed V5MoW crystal, from Alexandria via LeMat-Bulk.

Lattice parameters (Å, degrees): 3.5061 3.5061 8.6443 90.00 90.00 90.00
Element x y z (fractional)
V  0.0000  0.0000  0.0000
V  0.0000  0.5000  0.2657
V  0.0000  0.5000  0.7343
V  0.5000  0.0000  0.2657
V  0.5000  0.0000  0.7343
Mo  0.5000  0.5000  0.0000
W  0.0000  0.0000  0.5000

Offset from the most stable computed form (meV/atom): 247
Space group: P4/mmm, No. 123
Magnetic moment (μB/cell): 0.000
Total DFT energy (no corrections) (eV for the cell shown): -66.28
DFT formation energy (eV per atom): 0.443